Computed, not measured: a relaxed SrCr2FeH crystal at the GGA-PBE level of DFT.

Calculated values
total magnetic moment	5.149	μB per formula unit
SG	P4/mmm, No. 123
E	-27.755	eV for the cell shown
density	3.62	Mg/m³

Unit cell a=4.266 b=6.262 c=4.266 alpha=90.00 beta=90.00 gamma=90.00
Last column: magnetic moment on the atom in μB.
Sites, in units of the cell vectors:
H 0.500 0.500 0.500  0.02
Sr 0.000 0.500 0.000  0.01
Cr 0.500 0.000 0.000  3.05
Cr 0.000 0.000 0.500  2.55
Fe 0.000 0.000 0.000  -1.17


Computed, not measured: a relaxed ErSc2CrS6 crystal at the GGA-PBE level of DFT.

Calculated values
total magnetic moment	2.999	μB per formula unit
SG	R3, No. 146
E	-67.372	eV for the cell shown
density	3.95	Mg/m³

Unit cell a=6.449 b=6.449 c=6.936 alpha=62.30 beta=62.30 gamma=60.00
Last column: magnetic moment on the atom in μB.
Sites, in units of the cell vectors:
S 0.212 0.899 0.262  -0.03
S 0.732 0.089 0.744  -0.02
S 0.089 0.436 0.744  -0.02
S 0.627 0.212 0.262  -0.03
S 0.899 0.627 0.262  -0.03
S 0.436 0.732 0.744  -0.02
Sc 0.017 0.017 0.949  0.03
Sc 0.509 0.509 0.472  0.02
Cr 0.825 0.825 0.524  2.84
Er 0.316 0.316 0.053  0.03


Computed, not measured: a relaxed PtBr2 crystal at the GGA-PBE level of DFT.

Calculated values
total magnetic moment	0.000	μB per formula unit
SG	P6/mmm, No. 191
E	-5.973	eV for the cell shown
density	8.92	Mg/m³

Unit cell a=4.949 b=4.949 c=3.117 alpha=90.00 beta=90.00 gamma=120.00
Sites, in units of the cell vectors:
Br 0.667 0.333 0.500
Br 0.333 0.667 0.500
Pt 0.000 0.000 0.000


Computed, not measured: a relaxed Ce2NpUN6 crystal at the GGA-PBE level of DFT.

Calculated values
total magnetic moment	3.042	μB per formula unit
SG	P2_1/c, No. 14
E	-198.743	eV for the cell shown
density	9.50	Mg/m³

Unit cell a=5.849 b=5.976 c=8.395 alpha=90.00 beta=90.12 gamma=90.00
Last column: magnetic moment on the atom in μB.
Sites, in units of the cell vectors:
N 0.208 0.194 0.062  -0.06
N 0.618 0.044 0.250  -0.07
N 0.382 0.956 0.750  -0.07
N 0.791 0.806 0.562  -0.07
N 0.118 0.456 0.750  -0.07
N 0.709 0.306 0.938  -0.07
N 0.209 0.194 0.438  -0.07
N 0.291 0.694 0.062  -0.07
N 0.292 0.694 0.438  -0.06
N 0.882 0.544 0.250  -0.07
N 0.792 0.806 0.938  -0.06
N 0.708 0.306 0.562  -0.06
Ce 0.488 0.451 0.250  0.59
Ce 0.988 0.049 0.750  0.59
Ce 0.512 0.549 0.750  0.59
Ce 0.012 0.951 0.250  0.59
U 0.000 0.500 0.500  0.36
U 0.500 0.000 0.000  0.36
Np 0.000 0.500 0.000  1.76
Np 0.500 0.000 0.500  1.76


Computed, not measured: a relaxed SnTeN2F crystal at the GGA-PBE level of DFT.

Calculated values
total magnetic moment	0.000	μB per formula unit
SG	P4/mmm, No. 123
E	-23.206	eV for the cell shown
density	6.27	Mg/m³

Unit cell a=4.219 b=4.219 c=4.361 alpha=90.00 beta=90.00 gamma=90.00
Sites, in units of the cell vectors:
F 0.000 0.000 0.500
Te 0.000 0.000 0.000
Sn 0.500 0.500 0.500
N 0.000 0.500 0.000
N 0.500 0.000 0.000


Computed, not measured: a relaxed Ce2ThCd2Au2 crystal at the GGA-PBE level of DFT.

Calculated values
energy of formation from the pure elements	-2.543	eV/f.u.
total magnetic moment	2.067	μB per formula unit
SG	C2/m, No. 12
E	-30.216	eV for the cell shown
density	11.10	Mg/m³

Unit cell a=4.901 b=4.924 c=8.509 alpha=105.77 beta=90.00 gamma=119.85
Last column: magnetic moment on the atom in μB.
Sites, in units of the cell vectors:
Au 0.274 0.548 0.807  0.00
Au 0.726 0.452 0.193  0.00
Ce 0.132 0.264 0.426  0.87
Ce 0.868 0.736 0.574  0.87
Th 0.000 0.000 0.000  0.06
Cd 0.405 0.811 0.230  -0.01
Cd 0.595 0.189 0.770  -0.01


Computed, not measured: a relaxed Li2TmInCl6 crystal at the GGA-PBE level of DFT.

Calculated values
total magnetic moment	0.000	μB per formula unit
SG	R-3, No. 148
E	-40.226	eV for the cell shown
density	2.96	Mg/m³

Unit cell a=6.579 b=6.580 c=8.521 alpha=67.30 beta=67.29 gamma=60.00
Sites, in units of the cell vectors:
Cl 0.045 0.380 0.864
Cl 0.252 0.922 0.239
Cl 0.381 0.710 0.865
Cl 0.922 0.588 0.238
Cl 0.587 0.252 0.239
Cl 0.710 0.045 0.864
Li 0.644 0.644 0.068
Li 0.988 0.988 0.035
Tm 0.316 0.316 0.052
In 0.816 0.816 0.551


Computed, not measured: a relaxed Ni2TeN2 crystal at the GGA-PBE level of DFT.

Calculated values
total magnetic moment	0.000	μB per formula unit
SG	P4/mbm, No. 127
E	-55.493	eV for the cell shown
density	6.44	Mg/m³

Unit cell a=6.329 b=6.329 c=3.512 alpha=90.00 beta=90.00 gamma=90.00
Sites, in units of the cell vectors:
Ni 0.132 0.632 0.500
Ni 0.868 0.368 0.500
Ni 0.368 0.132 0.500
Ni 0.632 0.868 0.500
N 0.656 0.844 0.000
N 0.844 0.344 0.000
N 0.156 0.656 0.000
N 0.344 0.156 0.000
Te 0.500 0.500 0.000
Te 0.000 0.000 0.000


Q: Among the records above, which one has the highest E?
A: PtBr2


Please write out number 5 again, unchanged.
Computed, not measured: a relaxed SnTeN2F crystal at the GGA-PBE level of DFT.

Calculated values
total magnetic moment	0.000	μB per formula unit
SG	P4/mmm, No. 123
E	-23.206	eV for the cell shown
density	6.27	Mg/m³

Unit cell a=4.219 b=4.219 c=4.361 alpha=90.00 beta=90.00 gamma=90.00
Sites, in units of the cell vectors:
F 0.000 0.000 0.500
Te 0.000 0.000 0.000
Sn 0.500 0.500 0.500
N 0.000 0.500 0.000
N 0.500 0.000 0.000


Q: The highest density belongs to which entry?
A: Ce2ThCd2Au2